# 1
MgAlP: optimized geometry, GGA-PBE.

Calculated values
VASP energy (hartree per atom): -0.14242
ΔH_f (0 K) (meV/atom): -293.1
Calculated volume (Å³ per atom): 19.8
Space group: P3m1, No. 156
Spin magnetization (μB/atom): 0.00

Cell: 3.6786 3.6786 5.0800 Å, 90.00 90.00 120.00°
Positions (direct):
Mg (0.0000, 0.0000, 0.0000)
Al (0.3333, 0.6667, 0.5486)
P (0.6667, 0.3333, 0.3225)



# 2
Mg2Al4P3: optimized geometry, GGA-PBE.

Calculated values
VASP energy (hartree per atom): -0.13498
ΔH_f (0 K) (meV/atom): 148.1
Calculated volume (Å³ per atom): 17.5
Space group: P6_3/mmc, No. 194
Spin magnetization (μB/atom): 0.00

Cell: 4.9652 4.9652 14.7615 Å, 90.00 90.00 120.00°
Positions (direct):
Mg (0.3333, 0.6667, 0.1491)
Mg (0.3333, 0.6667, 0.3509)
Mg (0.6667, 0.3333, 0.6491)
Mg (0.6667, 0.3333, 0.8509)
Al (0.0000, 0.0000, 0.0929)
Al (0.0000, 0.0000, 0.4071)
Al (0.0000, 0.0000, 0.5929)
Al (0.0000, 0.0000, 0.9071)
Al (0.3333, 0.6667, 0.5397)
Al (0.3333, 0.6667, 0.9603)
Al (0.6667, 0.3333, 0.0397)
Al (0.6667, 0.3333, 0.4603)
P (0.1696, 0.3393, 0.7500)
P (0.1696, 0.8304, 0.7500)
P (0.3393, 0.1696, 0.2500)
P (0.6607, 0.8304, 0.7500)
P (0.8304, 0.1696, 0.2500)
P (0.8304, 0.6607, 0.2500)



# 3
Mg2AlP: optimized geometry, GGA-PBE.

Calculated values
VASP energy (hartree per atom): -0.11507
ΔH_f (0 K) (meV/atom): -45.9
Calculated volume (Å³ per atom): 18.3
Space group: I-4m2, No. 119
E above lowest polymorph (eV per atom): 0.198
Spin magnetization (μB/atom): 0.00

Cell: 5.4696 5.4696 5.4696 Å, 137.80 137.80 61.21°
Positions (direct):
Mg (0.0000, 0.0000, 0.0000)
Mg (0.7500, 0.2500, 0.5000)
Al (0.5000, 0.5000, 0.0000)
P (0.2500, 0.7500, 0.5000)



# 4
MgAlP: optimized geometry, GGA-PBE.

Calculated values
VASP energy (hartree per atom): -0.13407
ΔH_f (0 K) (meV/atom): -65.8
Calculated volume (Å³ per atom): 17.9
Space group: I4mm, No. 107
Spin magnetization (μB/atom): 0.00

Cell: 5.2415 5.2415 5.2415 Å, 142.27 142.27 54.42°
Positions (direct):
Mg (0.0000, 0.0000, 0.0000)
Al (0.2968, 0.2968, 0.0000)
P (0.7002, 0.7002, 0.0000)



# 5
MgAlPPb2: optimized geometry, GGA-PBE.

Calculated values
VASP energy (hartree per atom): -0.12151
ΔH_f (0 K) (meV/atom): 326.2
Calculated volume (Å³ per atom): 29.5
Space group: P4/mmm, No. 123
E above lowest polymorph (eV per atom): 0.000
Spin magnetization (μB/atom): 0.00

Cell: 5.7017 5.7017 4.5432 Å, 90.00 90.00 90.00°
Positions (direct):
Mg (0.0000, 0.0000, 0.0000)
Al (0.5000, 0.5000, 0.0000)
P (0.5000, 0.5000, 0.5000)
Pb (0.0000, 0.5000, 0.5000)
Pb (0.5000, 0.0000, 0.5000)



# 6
MgAlPPb2: optimized geometry, GGA-PBE.

Calculated values
VASP energy (hartree per atom): -0.11068
ΔH_f (0 K) (meV/atom): 621.1
Calculated volume (Å³ per atom): 29.5
Space group: P4/mmm, No. 123
E above lowest polymorph (eV per atom): 0.295
Spin magnetization (μB/atom): 0.00

Cell: 5.6258 5.6258 4.6674 Å, 90.00 90.00 90.00°
Positions (direct):
Mg (0.0000, 0.0000, 0.0000)
Al (0.5000, 0.5000, 0.5000)
P (0.0000, 0.0000, 0.5000)
Pb (0.0000, 0.5000, 0.0000)
Pb (0.5000, 0.0000, 0.0000)



# 7
MgAl2PRh: optimized geometry, GGA-PBE.

Calculated values
VASP energy (hartree per atom): -0.15381
ΔH_f (0 K) (meV/atom): 182.9
Calculated volume (Å³ per atom): 19.9
Space group: P4/mmm, No. 123
Spin magnetization (μB/atom): 0.00

Cell: 4.7131 4.7131 4.4699 Å, 90.00 90.00 90.00°
Positions (direct):
Mg (0.0000, 0.0000, 0.0000)
Al (0.0000, 0.5000, 0.5000)
Al (0.5000, 0.0000, 0.5000)
P (0.5000, 0.5000, 0.5000)
Rh (0.5000, 0.5000, 0.0000)



# 8
Mg2AlP2Rh5: optimized geometry, GGA-PBE.

Calculated values
VASP energy (hartree per atom): -0.22785
ΔH_f (0 K) (meV/atom): -749.3
Calculated volume (Å³ per atom): 14.7
Space group: P4/mbm, No. 127
Spin magnetization (μB/atom): 0.00

Cell: 9.4030 9.4030 3.3299 Å, 90.00 90.00 90.00°
Positions (direct):
Mg (0.1723, 0.3277, 0.0000)
Mg (0.3277, 0.8277, 0.0000)
Mg (0.6723, 0.1723, 0.0000)
Mg (0.8277, 0.6723, 0.0000)
Al (0.0000, 0.0000, 0.0000)
Al (0.5000, 0.5000, 0.0000)
P (0.1286, 0.6286, 0.0000)
P (0.3714, 0.1286, 0.0000)
P (0.6286, 0.8714, 0.0000)
P (0.8714, 0.3714, 0.0000)
Rh (0.0000, 0.5000, 0.5000)
Rh (0.0733, 0.7914, 0.5000)
Rh (0.2086, 0.0733, 0.5000)
Rh (0.2914, 0.5733, 0.5000)
Rh (0.4267, 0.2914, 0.5000)
Rh (0.5000, 0.0000, 0.5000)
Rh (0.5733, 0.7086, 0.5000)
Rh (0.7086, 0.4267, 0.5000)
Rh (0.7914, 0.9267, 0.5000)
Rh (0.9267, 0.2086, 0.5000)